# 1
Below is a geometry-optimized TbPm2TmSc5 structure, with properties calculated at the GGA-PBE level.

**ρ**: 5.576 Mg/m³
**DOS(E_F)**: 11.0 states/eV/f.u.
**Total magnetic moment**: 0.0 Bohr magnetons per cell
**Energy of formation from the pure elements**: 239 kJ/mol of formula units
**Space-group type**: No. 140

a = 8.3218 Å, b = 8.3218 Å, c = 9.3357 Å
α = 116.47°, β = 116.47°, γ = 90.00°
Last column: nearest neighbours and their distance in Å.
Atoms (fractional coordinates):
Tm1 0.2500 0.7500 0.5000  4 Sc 2.96
Tm2 0.7500 0.2500 0.5000  4 Sc 2.96
Sc1 0.5727 0.6511 0.7239  1 Pm 2.83, 1 Tm 2.96
Sc2 0.0727 0.5727 0.7239  1 Pm 2.83, 1 Tm 2.96
Sc3 0.5000 0.5000 0.0000  4 Pm 3.32, 8 Sc 3.59, 2 Tb 3.62
Sc4 0.6511 0.1511 0.7239  1 Pm 2.83, 1 Tm 2.96
Sc5 0.1511 0.0727 0.7239  1 Pm 2.83, 1 Tm 2.96
Sc6 0.4273 0.3489 0.2761  1 Pm 2.83, 1 Tm 2.96
Sc7 0.9273 0.4273 0.2761  1 Pm 2.83, 1 Tm 2.96
Sc8 0.0000 0.0000 0.0000  4 Pm 3.32, 8 Sc 3.59, 2 Tb 3.62
Sc9 0.8489 0.9273 0.2761  1 Pm 2.83, 1 Tm 2.96
Sc10 0.3489 0.8489 0.2761  1 Pm 2.83, 1 Tm 2.96
Pm1 0.1197 0.3803 0.0000  1 Pm 2.82, 2 Sc 2.83
Pm2 0.8803 0.6197 0.0000  1 Pm 2.82, 2 Sc 2.83
Pm3 0.3803 0.8803 0.0000  1 Pm 2.82, 2 Sc 2.83
Pm4 0.6197 0.1197 0.0000  1 Pm 2.82, 2 Sc 2.83
Tb1 0.2500 0.2500 0.5000  10 Sc 3.39-3.62
Tb2 0.7500 0.7500 0.5000  10 Sc 3.39-3.62



# 2
Below is a geometry-optimized NiPtN2 structure, with properties calculated at the GGA-PBE level.

**Distance to the lowest polymorph of the same formula**: 0 meV per atom
**ρ**: 11.270 Mg/m³
**DOS(E_F)**: 1.9 states/eV/f.u.
**Total magnetic moment**: 0.0 Bohr magnetons per cell
**Space-group type**: No. 166

a = 6.2307 Å, b = 6.2307 Å, c = 6.2307 Å
α = 26.19°, β = 26.19°, γ = 26.19°
Last column: nearest neighbours and their distance in Å.
Atoms (fractional coordinates):
Ni1 0.5000 0.5000 0.5000  6 N 1.93
N1 0.1093 0.1093 0.1093  3 Ni 1.93, 1 Pt 1.97
N2 0.8907 0.8907 0.8907  3 Ni 1.93, 1 Pt 1.97
Pt1 0.0000 0.0000 0.0000  2 N 1.97



- Which value of DOS(E_F) does entry 1 give?
  11.0 states/eV/f.u.



- What is the formula in the first record?
  TbPm2TmSc5



- DOS(E_F) of number 2 (NiPtN2)?
  1.9 states/eV/f.u.



- Which formula does entry 1 have?
  TbPm2TmSc5